# 1
Computed, not measured: an optimized crystal structure of Cu4TePd at the PBE level of DFT.

Unit cell a=4.9812 b=4.9812 c=4.9812 alpha=60.00 beta=60.00 gamma=60.00
Last column: nearest neighbours and their distance in Å.
Fractional positions:
Te: 0.2500 0.2500 0.2500  12 Cu 2.92, 4 Pd 3.05
Cu: 0.6255 0.6255 0.1234  6 Cu 2.48-2.50
Cu: 0.6255 0.1234 0.6255  6 Cu 2.48-2.50
Cu: 0.6255 0.6255 0.6255  6 Cu 2.48-2.50
Cu: 0.1234 0.6255 0.6255  6 Cu 2.48-2.50
Pd: 0.0000 0.0000 0.0000  12 Cu 2.92, 4 Te 3.05

Uncorrected energy   -24.62 eV for the cell shown
E_form (uncorrected)   0.017 eV per atom

=====

# 2
Computed, not measured: an optimized crystal structure of Cu2TePd8 at the PBE level of DFT.

Unit cell a=4.0902 b=6.1020 c=7.3173 alpha=103.84 beta=106.23 gamma=90.00
Last column: nearest neighbours and their distance in Å.
Fractional positions:
Cu: 0.7747 0.3586 0.5494  10 Pd 2.59-2.83, 2 Cu 2.87
Cu: 0.2253 0.6414 0.4506  10 Pd 2.59-2.83, 2 Cu 2.87
Te: 0.5000 0.0000 0.0000  12 Pd 2.71-2.98
Pd: 0.4030 0.5383 0.8060  3 Cu 2.72-2.77, 8 Pd 2.75-2.90, 1 Te 2.81
Pd: 0.6811 0.9199 0.3622  3 Cu 2.67-2.83, 8 Pd 2.68-2.83, 1 Te 2.71
Pd: 0.8501 0.7912 0.7003  3 Cu 2.59-2.70, 6 Pd 2.68-2.86
Pd: 0.9543 0.2679 0.9085  1 Cu 2.71, 2 Te 2.79, 9 Pd 2.80-2.91
Pd: 0.1499 0.2088 0.2997  3 Cu 2.59-2.70, 6 Pd 2.68-2.86
Pd: 0.3189 0.0801 0.6378  3 Cu 2.67-2.83, 8 Pd 2.68-2.83, 1 Te 2.71
Pd: 0.5970 0.4617 0.1940  3 Cu 2.72-2.77, 8 Pd 2.75-2.90, 1 Te 2.81
Pd: 0.0457 0.7321 0.0915  1 Cu 2.71, 2 Te 2.79, 9 Pd 2.80-2.91

Uncorrected energy   -54.35 eV for the cell shown
E_form (uncorrected)   -0.134 eV per atom